A plane-wave DFT calculation with GGA-PBE was carried out for a relaxed structure of LiPm2Al12Pt3.

Unit cell a=7.8422 b=7.8422 c=7.8422 alpha=69.71 beta=69.71 gamma=69.71
Last column: nearest neighbours and their distance in Å.
Fractional positions:
Al1 0.3626 0.8616 0.8616  1 Pt 2.44, 1 Li 2.64
Al2 0.1384 0.1384 0.6374  1 Pt 2.44, 1 Li 2.64
Al3 0.8616 0.8616 0.3626  1 Pt 2.44, 1 Li 2.64
Al4 0.1504 0.7295 0.7295  2 Pt 2.49
Al5 0.2705 0.2705 0.8496  2 Pt 2.49
Al6 0.7295 0.7295 0.1504  2 Pt 2.49
Al7 0.1384 0.6374 0.1384  1 Pt 2.44, 1 Li 2.64
Al8 0.2705 0.8496 0.2705  2 Pt 2.49
Al9 0.7295 0.1504 0.7295  2 Pt 2.49
Al10 0.6374 0.1384 0.1384  1 Pt 2.44, 1 Li 2.64
Al11 0.8616 0.3626 0.8616  1 Pt 2.44, 1 Li 2.64
Al12 0.8496 0.2705 0.2705  2 Pt 2.49
Pm1 0.4038 0.4038 0.4038  6 Al 3.12-3.18, 1 Pm 3.40
Pm2 0.5962 0.5962 0.5962  6 Al 3.12-3.18, 1 Pm 3.40
Pt1 0.0000 0.0000 0.5000  6 Al 2.44-2.49
Pt2 0.5000 0.0000 0.0000  6 Al 2.44-2.49
Pt3 0.0000 0.5000 0.0000  6 Al 2.44-2.49
Li1 0.0000 0.0000 0.0000  6 Al 2.64

Values from the calculation:
N(E_F) ... 0.505 states/eV per atom
Total energy ... -77.36 eV/f.u.
ΔE_f ... -2.91 eV per formula unit

A plane-wave DFT calculation with GGA-PBE was carried out for a relaxed structure of LiPm2AlPt2.

Unit cell a=5.8443 b=5.9047 c=8.4476 alpha=110.46 beta=110.24 gamma=90.00
Last column: nearest neighbours and their distance in Å.
Fractional positions:
Pt1 0.6045 0.3813 0.7627  2 Al 2.63, 2 Li 2.80
Pt2 0.3955 0.6187 0.2373  2 Al 2.63, 2 Li 2.80
Pt3 0.8418 0.1187 0.2373  2 Al 2.63, 2 Li 2.80
Pt4 0.1582 0.8813 0.7627  2 Al 2.63, 2 Li 2.80
Al1 0.5000 0.7500 0.0000  4 Pt 2.63, 2 Li 2.92
Al2 0.5000 0.2500 0.0000  4 Pt 2.63, 2 Li 2.92
Pm1 0.9469 0.6700 0.3400  5 Pt 3.02-3.11, 2 Li 3.18, 2 Al 3.32
Pm2 0.6069 0.8300 0.6600  5 Pt 3.02-3.11, 2 Li 3.18, 2 Al 3.32
Pm3 0.0531 0.3300 0.6600  5 Pt 3.02-3.11, 2 Li 3.18, 2 Al 3.32
Pm4 0.3931 0.1700 0.3400  5 Pt 3.02-3.11, 2 Li 3.18, 2 Al 3.32
Li1 0.0000 0.7500 0.0000  4 Pt 2.80, 2 Al 2.92, 2 Li 2.95
Li2 0.0000 0.2500 0.0000  4 Pt 2.80, 2 Al 2.92, 2 Li 2.95

Values from the calculation:
N(E_F) ... 0.712 states/eV per atom
Total energy ... -32.77 eV/f.u.
ΔE_f ... -5.53 eV per formula unit

A plane-wave DFT calculation with GGA-PBE was carried out for a relaxed structure of LiPmAlRh.

Unit cell a=4.7028 b=4.7028 c=4.7028 alpha=60.00 beta=60.00 gamma=60.00
Last column: nearest neighbours and their distance in Å.
Fractional positions:
Rh1 0.5000 0.5000 0.5000  4 Al 2.88, 4 Pm 2.88
Pm1 0.7500 0.7500 0.7500  4 Li 2.88, 4 Rh 2.88
Li1 0.0000 0.0000 0.0000  4 Pm 2.88, 4 Al 2.88
Al1 0.2500 0.2500 0.2500  4 Li 2.88, 4 Rh 2.88

Values from the calculation:
N(E_F) ... 0.963 states/eV per atom
Total energy ... -19.72 eV/f.u.
ΔE_f ... -1.96 eV per formula unit

A plane-wave DFT calculation with GGA-PBE was carried out for a relaxed structure of Li2PmAlS4.

Unit cell a=7.5597 b=7.5597 c=7.8832 alpha=121.41 beta=121.41 gamma=89.41
Last column: nearest neighbours and their distance in Å.
Fractional positions:
Al1 0.0000 0.0000 0.0000  6 S 2.48-2.60
Al2 0.5000 0.5000 0.5000  6 S 2.48-2.60
Pm1 0.0000 0.5000 0.0000  6 S 2.75-2.78
Pm2 0.0000 0.5000 0.5000  6 S 2.75-2.78
S1 0.2599 0.2408 0.0379  2 Al 2.48, 1 Li 2.57, 1 Pm 2.78
S2 0.7422 0.2312 0.9868  1 Al 2.60, 3 Li 2.62-2.72, 2 Pm 2.75-2.76
S3 0.7401 0.7592 0.9621  2 Al 2.48, 1 Li 2.57, 1 Pm 2.78
S4 0.7408 0.7599 0.5379  2 Al 2.48, 1 Li 2.57, 1 Pm 2.78
S5 0.2579 0.7688 0.0132  1 Al 2.60, 3 Li 2.62-2.72, 2 Pm 2.76
S6 0.7312 0.2421 0.4868  1 Al 2.60, 3 Li 2.62-2.72, 2 Pm 2.75-2.76
S7 0.2592 0.2401 0.4621  2 Al 2.48, 1 Li 2.57, 1 Pm 2.78
S8 0.2688 0.7578 0.5132  1 Al 2.60, 3 Li 2.62-2.72, 2 Pm 2.75-2.76
Li1 0.5000 0.5000 0.0000  6 S 2.72-2.92
Li2 0.5000 0.0000 0.5000  6 S 2.57-2.62
Li3 0.0000 0.0000 0.5000  6 S 2.72-2.92
Li4 0.5000 0.0000 0.0000  6 S 2.57-2.62

Values from the calculation:
N(E_F) ... 0.000 states/eV per atom
Total energy ... -40.22 eV/f.u.

A plane-wave DFT calculation with GGA-PBE was carried out for a relaxed structure of LiPm2AlS5.

Unit cell a=3.8547 b=8.6354 c=11.3068 alpha=90.00 beta=90.00 gamma=102.90
Last column: nearest neighbours and their distance in Å.
Fractional positions:
Li1 0.2146 0.4292 0.0191  5 S 2.43-2.72
Li2 0.7854 0.5708 0.5191  5 S 2.43-2.72
S1 0.0446 0.0892 0.0590  2 Al 2.30
S2 0.3142 0.6283 0.3549  1 Al 2.26
S3 0.6417 0.2833 0.5001  1 Li 2.43
S4 0.7066 0.4132 0.1661  2 Li 2.55, 2 Pm 2.78
S5 0.3583 0.7167 0.0001  1 Li 2.43
S6 0.4987 0.9974 0.2822  1 Al 2.27
S7 0.9554 0.9108 0.5590  2 Al 2.30
S8 0.6858 0.3717 0.8549  1 Al 2.26
S9 0.5013 0.0026 0.7822  1 Al 2.27
S10 0.2934 0.5868 0.6661  2 Li 2.55, 2 Pm 2.78
Al1 0.5697 0.1394 0.9552  4 S 2.26-2.30
Al2 0.4303 0.8606 0.4552  4 S 2.26-2.30
Pm1 0.8783 0.7567 0.1827  8 S 2.84-3.13
Pm2 0.1322 0.2643 0.3046  6 S 2.78-2.97
Pm3 0.8678 0.7357 0.8046  6 S 2.78-2.97
Pm4 0.1217 0.2433 0.6827  8 S 2.84-3.13

Values from the calculation:
Total energy ... -50.95 eV/f.u.

A plane-wave DFT calculation with GGA-PBE was carried out for a relaxed structure of LiPmAlSi2.

Unit cell a=4.1116 b=4.1116 c=6.1749 alpha=109.45 beta=109.45 gamma=90.00
Last column: nearest neighbours and their distance in Å.
Fractional positions:
Si1 0.6095 0.6095 0.2190  1 Si 2.39, 2 Li 2.56, 2 Al 2.56
Si2 0.3905 0.3905 0.7810  1 Si 2.39, 2 Al 2.56, 2 Li 2.56
Li1 0.2500 0.7500 0.5000  4 Si 2.56
Pm1 0.0000 0.0000 0.0000  8 Si 3.14, 4 Li 3.41, 4 Al 3.41
Al1 0.7500 0.2500 0.5000  4 Si 2.56

Values from the calculation:
N(E_F) ... 0.265 states/eV per atom
Total energy ... -23.72 eV/f.u.